This record from OQMD describes a relaxed structure of GeIrNO. The functional is PBE.

Its magnetization is 0.0 μB per cell. The energy above the lowest structure with this stoichiometry comes out at 0.173 eV per atom.

The space group is Pmc2_1 (No. 26) and the conventional cell measures 2.795, 6.016 and 5.788 Å, with angles of 90.00, 90.00 and 90.00 degrees. The inequivalent atoms are Ge at (0.000, 0.046, 0.000), Ir at (0.500, 0.467, 0.319), N at (0.000, 0.231, 0.305) and O at (0.500, 0.186, 0.824).